Sr2ZnHPd: optimized geometry, PBE.

abc: 6.343 4.471 8.867
angles: 90.00 108.80 90.00
Space group P2_1/m (No. 11)
Inequivalent atoms, fractional coordinates:
Sr  0.216  0.250  0.424 x2
Sr  0.281  0.750  0.059 x2
Zn  0.347  0.750  0.716 x2
H  0.374  0.750  0.511 x2
Pd  0.178  0.250  0.779 x2

Output
The calculation puts the calculated total energy at -3.07 eV per atom.